1.
! AlSb2Au (GGA-PBE, relaxed); values from VASP
! energy relative to the elements, uncorrected = 0.0485 eV/atom
! total magnetic moment = 0.00 μB/cell
&SYSTEM
  ibrav = 0, nat = 4, ntyp = 3
/
ATOMIC_SPECIES
Sb 121.76 Sb.upf
Al 26.98 Al.upf
Au 196.97 Au.upf
CELL_PARAMETERS angstrom
4.0393 0.0000 0.0000
0.0000 4.9420 -0.0263
0.0000 1.4869 4.9497
ATOMIC_POSITIONS angstrom
Sb 0.0000 4.8439 -0.0082
Sb 0.0000 3.3126 2.4436
Al 2.0196 1.6072 1.2308
Au 2.0196 4.8217 3.6925

---

2.
! AlSbAu2 (GGA-PBE, relaxed); values from VASP
! energy relative to the elements, uncorrected = 0.0253 eV/atom
! total magnetic moment = 0.00 μB/cell
&SYSTEM
  ibrav = 0, nat = 4, ntyp = 3
/
ATOMIC_SPECIES
Au 196.97 Au.upf
Sb 121.76 Sb.upf
Al 26.98 Al.upf
CELL_PARAMETERS angstrom
-3.4228 -3.3948 -1.0612
3.7408 -0.4494 -3.1892
1.5706 -2.2589 2.1606
ATOMIC_POSITIONS angstrom
Au 0.0000 0.0000 0.0000
Sb -0.9261 -2.8269 0.5497
Al 2.6557 -1.3542 -0.5143
Au 0.1590 -1.9221 -2.1252

---

3.
! Al3SbAu (GGA-PBE, relaxed); values from VASP
! energy relative to the elements, uncorrected = 0.1709 eV/atom
! total magnetic moment = 0.00 μB/cell
&SYSTEM
  ibrav = 0, nat = 5, ntyp = 3
/
ATOMIC_SPECIES
Al 26.98 Al.upf
Au 196.97 Au.upf
Sb 121.76 Sb.upf
CELL_PARAMETERS angstrom
-1.7892 -4.1590 1.8789
4.2031 -0.7155 2.4188
-1.7779 2.4939 3.8273
ATOMIC_POSITIONS angstrom
Al -0.8946 -2.0795 0.9395
Al 2.1016 -0.3577 1.2094
Au 0.0000 0.0000 0.0000
Sb 0.3180 -1.1903 4.0625
Al -0.8890 1.2470 1.9136

---

The records above give, respectively, raw total energy values of -0.1385, -0.1315, -0.1306 hartree per atom.
The records above give, respectively, calculated density values of 7.8, 11.2, 5.6 g/cm³.